ZnRuSe2 PBEsol relaxed; final energy = -4.93 eV/atom; N(E_F) = 1.6 states/eV/f.u.; magnetic moment = 0.000 μB/atom
1.0
-0.737 2.889 -0.403
-1.498 -0.918 -3.843
-3.957 -1.970 4.337
Ru Se Zn
1 2 1
Direct
0.000 0.500 0.000
0.675 0.675 0.350
0.325 0.325 0.650
0.500 0.000 0.000

=====

Al2S3 PBEsol relaxed; final energy = -5.33 eV/atom; N(E_F) = 0.0 states/eV/f.u.; magnetic moment = 0.000 μB/atom
1.0
6.610 0.000 0.000
-3.305 5.725 0.000
0.000 0.000 17.281
S Al
18 12
Direct
0.657 0.660 0.818
0.041 0.334 0.126
0.294 0.959 0.792
0.301 0.346 0.672
0.959 0.666 0.626
0.343 0.340 0.318
0.003 0.343 0.485
0.045 0.699 0.338
0.654 0.955 0.005
0.346 0.045 0.505
0.997 0.657 0.985
0.955 0.301 0.838
0.334 0.294 0.959
0.340 0.997 0.152
0.699 0.654 0.172
0.706 0.041 0.292
0.666 0.706 0.459
0.660 0.003 0.652
0.991 0.342 0.617
0.994 0.301 0.983
0.694 0.994 0.149
0.351 0.009 0.284
0.649 0.991 0.784
0.306 0.006 0.649
0.342 0.351 0.451
0.301 0.306 0.816
0.699 0.694 0.316
0.006 0.699 0.483
0.658 0.649 0.951
0.009 0.658 0.117